Arrangement a

Entry from Alexandria: a relaxed structure of CaHf2Si2 (PBE).

Calculated values
SG   No. 127

Cell lengths 7.378, 7.378, 3.616 Å; angles 90.00, 90.00, 90.00 degrees
Atoms (fractional coordinates):
Si1 0.622 0.122 0.000
Si2 0.122 0.378 0.000
Hf1 0.332 0.168 0.500
Hf2 0.168 0.668 0.500
Hf3 0.832 0.332 0.500
Ca1 0.000 0.000 0.000
Si3 0.378 0.878 0.000
Hf4 0.668 0.832 0.500
Si4 0.878 0.622 0.000
Ca2 0.500 0.500 0.000


Arrangement b

Entry from Alexandria: a relaxed structure of CaHf2Si2 (PBE).

Calculated values
SG   No. 139

Cell lengths 4.357, 4.357, 6.562 Å; angles 70.61, 70.61, 90.00 degrees
Atoms (fractional coordinates):
Si1 0.608 0.608 0.783
Hf1 0.250 0.750 0.500
Si2 0.392 0.392 0.217
Hf2 0.750 0.250 0.500
Ca1 0.000 0.000 0.000


Q: Which of them is the most stable? A: arrangement a.


Arrangement a

Entry from Alexandria: a relaxed structure of CaSm2Hf (PBE).

Calculated values
SG   No. 166

Cell lengths 3.375, 3.375, 12.715 Å; angles 82.37, 82.37, 60.00 degrees
Atoms (fractional coordinates):
Sm1 0.081 0.081 0.756
Hf1 0.000 0.000 0.000
Sm2 0.919 0.919 0.244
Ca1 0.500 0.500 0.500


Arrangement b

Entry from Alexandria: a relaxed structure of CaSm2Hf (PBE).

Calculated values
SG   No. 123

Cell lengths 3.520, 3.520, 10.248 Å; angles 90.00, 90.00, 90.00 degrees
Atoms (fractional coordinates):
Hf1 0.500 0.500 0.000
Sm1 0.000 0.000 0.216
Sm2 0.000 0.000 0.784
Ca1 0.500 0.500 0.500


Q: Which of them is the most stable? A: arrangement b.


Arrangement a

Entry from Alexandria: a relaxed structure of CaHf2Sn2 (PBE).

Calculated values
SG   No. 127

Cell lengths 8.720, 8.720, 3.240 Å; angles 90.00, 90.00, 90.00 degrees
Atoms (fractional coordinates):
Sn1 0.674 0.826 0.500
Hf1 0.120 0.380 0.000
Ca1 0.500 0.500 0.000
Hf2 0.880 0.620 0.000
Ca2 0.000 0.000 0.000
Hf3 0.620 0.120 0.000
Hf4 0.380 0.880 0.000
Sn2 0.826 0.326 0.500
Sn3 0.326 0.174 0.500
Sn4 0.174 0.674 0.500


Arrangement b

Entry from Alexandria: a relaxed structure of CaHf2Sn2 (PBE).

Calculated values
SG   No. 139

Cell lengths 4.717, 4.717, 7.196 Å; angles 70.87, 70.87, 90.00 degrees
Atoms (fractional coordinates):
Hf1 0.612 0.612 0.777
Sn1 0.250 0.750 0.500
Ca1 0.000 0.000 0.000
Hf2 0.388 0.388 0.223
Sn2 0.750 0.250 0.500


Arrangement c

Entry from Alexandria: a relaxed structure of CaHf2Sn2 (PBE).

Calculated values
SG   No. 127

Cell lengths 8.066, 8.066, 3.784 Å; angles 90.00, 90.00, 90.00 degrees
Atoms (fractional coordinates):
Sn1 0.143 0.357 0.000
Hf1 0.152 0.652 0.500
Hf2 0.348 0.152 0.500
Sn2 0.357 0.857 0.000
Ca1 0.000 0.000 0.000
Sn3 0.857 0.643 0.000
Hf3 0.652 0.848 0.500
Hf4 0.848 0.348 0.500
Sn4 0.643 0.143 0.000
Ca2 0.500 0.500 0.000


Q: Which of them is the most stable? A: arrangement c.